## CaTm2Pd2 (PBE)

Data for a relaxed structure of CaTm2Pd2.

a = 4.949 Å, b = 7.659 Å, c = 7.659 Å
α = 67.70°, β = 71.36°, γ = 71.22°
Fractional positions:
Ca 0.250 0.249 0.250
Ca 0.750 0.751 0.750
Tm 0.086 0.081 0.747
Tm 0.414 0.419 0.753
Tm 0.586 0.581 0.247
Tm 0.914 0.919 0.253
Pd 0.157 0.677 0.010
Pd 0.343 0.823 0.491
Pd 0.657 0.177 0.509
Pd 0.843 0.323 0.990

Results
crystal system = triclinic
space-group type = P-1, No. 2
energy above the lowest structure with this stoichiometry = 72 meV per atom
density = 7.92 Mg/m³

=====

## AcNd3Sb4 (PBE)

Data for a relaxed structure of AcNd3Sb4.

a = 7.961 Å, b = 7.961 Å, c = 4.598 Å
α = 90.00°, β = 90.00°, γ = 109.43°
Fractional positions:
Ac 0.000 0.000 0.000
Nd 0.000 0.500 0.500
Nd 0.500 0.000 0.500
Nd 0.500 0.500 0.000
Sb 0.255 0.745 0.000
Sb 0.260 0.260 0.500
Sb 0.740 0.740 0.500
Sb 0.745 0.255 0.000

Results
crystal system = orthorhombic
space-group type = Cmmm, No. 65
energy above the lowest structure with this stoichiometry = 0 meV per atom
density = 6.93 Mg/m³

=====

Number 2 is which compound?
AcNd3Sb4

=====

Which of these has the lowest energy above the lowest structure with this stoichiometry?
AcNd3Sb4

=====

Repeat the second record exactly.
## AcNd3Sb4 (PBE)

Data for a relaxed structure of AcNd3Sb4.

a = 7.961 Å, b = 7.961 Å, c = 4.598 Å
α = 90.00°, β = 90.00°, γ = 109.43°
Fractional positions:
Ac 0.000 0.000 0.000
Nd 0.000 0.500 0.500
Nd 0.500 0.000 0.500
Nd 0.500 0.500 0.000
Sb 0.255 0.745 0.000
Sb 0.260 0.260 0.500
Sb 0.740 0.740 0.500
Sb 0.745 0.255 0.000

Results
crystal system = orthorhombic
space-group type = Cmmm, No. 65
energy above the lowest structure with this stoichiometry = 0 meV per atom
density = 6.93 Mg/m³